[1]
KYRu2: relaxed, GGA-PBE.

Summary:
Crystal system: monoclinic
Polymorph energy (0 for the lowest one) in kJ/mol of formula units: 116.6
Theoretical density in Mg/m³: 5.3
Magnetic moment in μB per formula unit: 1.04

Cell: 3.0821 4.6290 7.3119 Å, 90.00 98.43 90.00°
Element x y z (fractional)
K1 0.0000 0.0000 0.0000
Y1 0.5000 0.0000 0.5000
Ru1 0.2415 0.5000 0.6483
Ru2 0.7585 0.5000 0.3517

---

[2]
Pr5Mg4Ag: relaxed, GGA-PBE.

Summary:
Crystal system: tetragonal
Uncorrected energy in eV per atom: -3.454
Theoretical density in Mg/m³: 5.2
Magnetic moment in μB per formula unit: 0.15

Cell: 3.8966 3.8966 19.3105 Å, 90.00 90.00 90.00°
Element x y z (fractional)
Pr1 0.0000 0.0000 0.0000
Pr2 0.0000 0.0000 0.2039
Pr3 0.0000 0.0000 0.4051
Pr4 0.0000 0.0000 0.5949
Pr5 0.0000 0.0000 0.7961
Mg1 0.5000 0.5000 0.1023
Mg2 0.5000 0.5000 0.3026
Mg3 0.5000 0.5000 0.6974
Mg4 0.5000 0.5000 0.8976
Ag1 0.5000 0.5000 0.5000

---

[3]
SrRe2P: relaxed, GGA-PBE.

Summary:
Crystal system: orthorhombic
Uncorrected energy in eV per atom: -7.301
Theoretical density in Mg/m³: 9.9
Magnetic moment in μB per formula unit: 0.19

Cell: 5.6738 5.6738 5.6738 Å, 147.80 120.91 68.91°
Element x y z (fractional)
Sr1 0.0000 0.0000 0.0000
Re1 0.3259 0.8259 0.5000
Re2 0.5265 0.5265 0.0000
P1 0.7283 0.2283 0.5000

---

[4]
Th8NiIr3Se4: relaxed, GGA-PBE.

Summary:
Crystal system: trigonal
Energy relative to the elements, uncorrected in eV/atom: -1.217
Theoretical density in Mg/m³: 10.8
Magnetic moment in μB per formula unit: 0.00

Cell: 8.7305 8.7305 8.7305 Å, 56.27 56.27 56.27°
Element x y z (fractional)
Th1 0.2404 0.2404 0.2404
Th2 0.2403 0.7388 0.7388
Th3 0.2612 0.2612 0.7597
Th4 0.2612 0.7597 0.2612
Th5 0.7388 0.2403 0.7388
Th6 0.7388 0.7388 0.2403
Th7 0.7597 0.2612 0.2612
Th8 0.7596 0.7596 0.7596
Ni1 0.5000 0.5000 0.5000
Ir1 0.0000 0.0000 0.5000
Ir2 0.0000 0.5000 0.0000
Ir3 0.5000 0.0000 0.0000
Se1 0.0000 0.0000 0.0000
Se2 0.0000 0.5000 0.5000
Se3 0.5000 0.0000 0.5000
Se4 0.5000 0.5000 0.0000

---

[5]
NaZn2Sn2: relaxed, GGA-PBE.

Summary:
Crystal system: tetragonal
Polymorph energy (0 for the lowest one) in kJ/mol of formula units: 5.8
Theoretical density in Mg/m³: 5.3
Magnetic moment in μB per formula unit: 0.00

Cell: 6.8076 6.8076 6.8076 Å, 141.27 141.27 55.93°
Element x y z (fractional)
Na1 0.0000 0.0000 0.0000
Zn1 0.2500 0.7500 0.5000
Zn2 0.7500 0.2500 0.5000
Sn1 0.3811 0.3811 0.0000
Sn2 0.6189 0.6189 0.0000

---

[6]
SiBMoBr2: relaxed, GGA-PBE.

Summary:
Crystal system: tetragonal
Energy relative to the elements, uncorrected in eV/atom: 1.382
Theoretical density in Mg/m³: 5.0
Magnetic moment in μB per formula unit: 2.06

Cell: 4.6392 4.6392 4.5300 Å, 90.00 90.00 90.00°
Element x y z (fractional)
Si1 0.0000 0.0000 0.0000
B1 0.5000 0.5000 0.5000
Mo1 0.5000 0.5000 0.0000
Br1 0.0000 0.5000 0.5000
Br2 0.5000 0.0000 0.5000

---

[7]
PuHgBi2: relaxed, GGA-PBE.

Summary:
Crystal system: tetragonal
Polymorph energy (0 for the lowest one) in kJ/mol of formula units: 32.7
Theoretical density in Mg/m³: 12.0
Magnetic moment in μB per formula unit: 5.70

Cell: 4.2315 4.2315 6.6549 Å, 90.00 90.00 90.00°
Element x y z (fractional)
Pu1 0.0000 0.0000 0.0000
Hg1 0.0000 0.0000 0.5000
Bi1 0.5000 0.5000 0.2334
Bi2 0.5000 0.5000 0.7666

---

[8]
V2ReHPd: relaxed, GGA-PBE.

Summary:
Crystal system: tetragonal
Polymorph energy (0 for the lowest one) in kJ/mol of formula units: 0.0
Theoretical density in Mg/m³: 11.2
Magnetic moment in μB per formula unit: 0.00

Cell: 3.9371 3.9371 3.7948 Å, 90.00 90.00 90.00°
Element x y z (fractional)
V1 0.0000 0.5000 0.0000
V2 0.5000 0.0000 0.0000
Re1 0.0000 0.0000 0.5000
H1 0.0000 0.0000 0.0000
Pd1 0.5000 0.5000 0.5000

---

[9]
Ac3LaPm5: relaxed, GGA-PBE.

Summary:
Crystal system: monoclinic
Uncorrected energy in eV per atom: -4.114
Theoretical density in Mg/m³: 6.9
Magnetic moment in μB per formula unit: 0.00

Cell: 8.0439 8.0439 12.8608 Å, 95.62 95.62 63.79°
Element x y z (fractional)
Ac1 0.0000 0.0000 0.0000
Ac2 0.0000 0.0000 0.5000
Ac3 0.2762 0.2762 0.5116
Ac4 0.3518 0.3518 0.7867
Ac5 0.6482 0.6482 0.2133
Ac6 0.7238 0.7238 0.4884
La1 0.1321 0.1321 0.2568
La2 0.8679 0.8679 0.7432
Pm1 0.0778 0.6759 0.2281
Pm2 0.2532 0.2532 0.0267
Pm3 0.3241 0.9222 0.7719
Pm4 0.3347 0.6653 0.0000
Pm5 0.4682 0.4682 0.3647
Pm6 0.5318 0.5318 0.6353
Pm7 0.6653 0.3347 0.0000
Pm8 0.6759 0.0778 0.2281
Pm9 0.7468 0.7468 0.9733
Pm10 0.9222 0.3241 0.7719

---

[10]
Sc2ReBr: relaxed, GGA-PBE.

Summary:
Crystal system: monoclinic
Polymorph energy (0 for the lowest one) in kJ/mol of formula units: 165.8
Energy relative to the elements, uncorrected in eV/atom: -0.105
Theoretical density in Mg/m³: 7.7
Magnetic moment in μB per formula unit: 0.00

Cell: 4.8863 4.8863 3.2109 Å, 92.71 92.71 89.77°
Element x y z (fractional)
Sc1 0.0000 0.5000 0.0000
Sc2 0.5000 0.0000 0.0000
Re1 0.0000 0.0000 0.5000
Br1 0.5000 0.5000 0.5000

---

[11]
Hf2AlAgAs: relaxed, GGA-PBE.

Summary:
Crystal system: tetragonal
Uncorrected energy in eV per atom: -5.579
Theoretical density in Mg/m³: 8.1
Magnetic moment in μB per formula unit: 0.00

Cell: 5.0386 5.0386 4.5590 Å, 90.00 90.00 90.00°
Element x y z (fractional)
Hf1 0.0000 0.5000 0.0000
Hf2 0.5000 0.0000 0.0000
Al1 0.0000 0.0000 0.0000
Ag1 0.0000 0.0000 0.5000
As1 0.5000 0.5000 0.5000

---

[12]
LiPmHoSn: relaxed, GGA-PBE.

Summary:
Crystal system: cubic
Uncorrected energy in eV per atom: -4.234
Theoretical density in Mg/m³: 7.0
Magnetic moment in μB per formula unit: 0.00

Cell: 5.2701 5.2701 5.2701 Å, 60.00 60.00 60.00°
Element x y z (fractional)
Li1 0.0000 0.0000 0.0000
Pm1 0.2500 0.2500 0.2500
Ho1 0.7500 0.7500 0.7500
Sn1 0.5000 0.5000 0.5000